# 1
Density functional theory data (GGA-PBE) for a relaxed structure of CrAs2Os.

a = 2.8635 Å, b = 2.8635 Å, c = 8.1318 Å
α = 90.00°, β = 90.00°, γ = 90.00°
Site moments in Bohr magnetons follow the coordinates.
Positions (direct):
As1 0.0000 0.0000 0.9311  0.02
As2 0.5000 0.5000 0.3196  -0.01
Cr1 0.0000 0.0000 0.5222  0.57
Os1 0.5000 0.5000 0.7271  -0.08

Computed properties:
excess energy over the best structure of this formula in the dataset: 0.000 eV per atom
D(E_F): 2.43 states/eV per cell
energy of formation: 0.08 eV per atom
M_tot: 0.136 μB per atom

***

# 2
Density functional theory data (GGA-PBE) for a relaxed structure of CrAsOs2.

a = 4.2912 Å, b = 4.2912 Å, c = 3.0654 Å
α = 90.00°, β = 90.00°, γ = 90.01°
Site moments in Bohr magnetons follow the coordinates.
Positions (direct):
As1 0.5000 0.0000 0.5000  0.01
Cr1 0.0000 0.5000 0.5000  2.55
Os1 0.0000 0.0000 0.0000  -0.13
Os2 0.5000 0.5000 0.0000  -0.13

Computed properties:
D(E_F): 2.66 states/eV per cell
energy of formation: 0.30 eV per atom
M_tot: 0.613 μB per atom

***

# 3
Density functional theory data (GGA-PBE) for a relaxed structure of CrAsOs2.

a = 2.8713 Å, b = 3.7729 Å, c = 5.2637 Å
α = 90.00°, β = 90.00°, γ = 90.00°
Site moments in Bohr magnetons follow the coordinates.
Positions (direct):
As1 0.0000 0.0000 0.4839  0.00
Cr1 0.5000 0.5000 0.7753  1.72
Os1 0.0000 0.0000 0.9605  -0.27
Os2 0.5000 0.5000 0.2803  0.01

Computed properties:
D(E_F): 3.04 states/eV per cell
energy of formation: 0.33 eV per atom
M_tot: 0.391 μB per atom

***

- Which of these has the highest energy of formation?
  number 3